First-principles (GGA-PBE) data for an optimized crystal structure of Li3PaCu2S6, as listed in Alexandria.

Unit cell a=6.270 b=6.270 c=6.511 alpha=98.43 beta=98.43 gamma=121.40
Element x y z (fractional)
Li  0.170  0.830  0.500
Li  0.830  0.170  0.500
Li  0.500  0.500  0.500
Pa  0.000  0.000  0.000
Cu  0.337  0.663  0.000
Cu  0.663  0.337  0.000
S  0.905  0.561  0.764
S  0.742  0.742  0.252
S  0.095  0.439  0.236
S  0.561  0.905  0.764
S  0.258  0.258  0.748
S  0.439  0.095  0.236

- crystal system = monoclinic
- volume (A^3/atom) = 17.37
- magnetic moment (Bohr magnetons per cell) = 0.000
- E_form (uncorrected) (eV/f.u.) = -11.5
- uncorrected energy (eV/cell) = -59.73